No. 1
The following is a DFT calculation (PBE) of an optimized crystal structure of Nd6Co2ICl3.

a = 9.4778 Å, b = 9.4778 Å, c = 9.0442 Å
α = 100.82°, β = 100.82°, γ = 24.50°
With the nearest neighbours (Å) after each atom.
Fractional coordinates of all 12 atoms:
1 Nd 0.0245 0.0245 0.2903  1 Co 2.64, 2 Cl 2.86
2 Nd 0.3192 0.3192 0.8562  2 Co 2.70, 1 Cl 3.01
3 Nd 0.3232 0.3232 0.4426  3 Co 2.81-2.82
4 Nd 0.6768 0.6768 0.5574  3 Co 2.81-2.82
5 Nd 0.6808 0.6808 0.1438  2 Co 2.70, 1 Cl 3.01
6 Nd 0.9755 0.9755 0.7097  1 Co 2.64, 2 Cl 2.86
7 Co 0.1695 0.1695 0.3380  6 Nd 2.64-2.82
8 Co 0.8305 0.8305 0.6620  6 Nd 2.64-2.82
9 I 0.5000 0.5000 0.0000  6 Nd 3.27-3.35
10 Cl 0.1550 0.1550 0.8323  4 Nd 3.01-3.30
11 Cl 0.5000 0.5000 0.5000  4 Nd 2.86
12 Cl 0.8450 0.8450 0.1677  4 Nd 3.01-3.30

Output
Formation energy without anion corrections: -10.84 eV per formula unit
Total moment: 0.00 Bohr magnetons per cell
Space group: C2/m, No. 12

No. 2
The following is a DFT calculation (PBE) of an optimized crystal structure of VCoAg3.

a = 4.7406 Å, b = 4.7406 Å, c = 4.7406 Å
α = 90.00°, β = 90.00°, γ = 90.00°
With the nearest neighbours (Å) after each atom.
Fractional coordinates of all 5 atoms:
1 V 0.0000 0.0000 0.0000  12 Ag 3.35
2 Co 0.5000 0.5000 0.5000  6 Ag 2.37
3 Ag 0.0000 0.5000 0.5000  2 Co 2.37
4 Ag 0.5000 0.0000 0.5000  2 Co 2.37
5 Ag 0.5000 0.5000 0.0000  2 Co 2.37

Output
Formation energy: 1.186 eV per atom
Total moment: 5.45 Bohr magnetons per cell
Energy above the most stable polymorph in this dataset: 0.0 meV per atom
Space group: Pm-3m, No. 221

No. 3
The following is a DFT calculation (PBE) of an optimized crystal structure of LiAcLaTc.

a = 5.2493 Å, b = 5.2493 Å, c = 5.2493 Å
α = 60.00°, β = 60.00°, γ = 60.00°
With the nearest neighbours (Å) after each atom.
Fractional coordinates of all 4 atoms:
1 Li 0.0000 0.0000 0.0000  4 La 3.21, 4 Ac 3.21
2 Ac 0.2500 0.2500 0.2500  4 Tc 3.21, 4 Li 3.21
3 La 0.7500 0.7500 0.7500  4 Li 3.21, 4 Tc 3.21
4 Tc 0.5000 0.5000 0.5000  4 Ac 3.21, 4 La 3.21

Output
Formation energy: 0.133 eV per atom
Total moment: 0.00 Bohr magnetons per cell
Space group: F-43m, No. 216

No. 4
The following is a DFT calculation (PBE) of an optimized crystal structure of BeSi4W.

a = 4.8007 Å, b = 4.8007 Å, c = 4.8007 Å
α = 60.00°, β = 60.00°, γ = 60.00°
With the nearest neighbours (Å) after each atom.
Fractional coordinates of all 6 atoms:
1 Be 0.0000 0.0000 0.0000  12 Si 2.81, 4 W 2.94
2 Si 0.1253 0.6249 0.6249  6 Si 2.40
3 Si 0.6249 0.1253 0.6249  6 Si 2.40
4 Si 0.6249 0.6249 0.1253  6 Si 2.40
5 Si 0.6249 0.6249 0.6249  6 Si 2.40
6 W 0.2500 0.2500 0.2500  12 Si 2.81, 4 Be 2.94

Output
Formation energy without anion corrections: 3.32 eV per formula unit
Total moment: 0.00 Bohr magnetons per cell
Space group: F-43m, No. 216

No. 5
The following is a DFT calculation (PBE) of an optimized crystal structure of Tl2AgCl.

a = 3.4932 Å, b = 3.4932 Å, c = 8.8969 Å
α = 90.00°, β = 90.00°, γ = 103.49°
With the nearest neighbours (Å) after each atom.
Fractional coordinates of all 4 atoms:
1 Tl 0.0000 0.0000 0.0000  2 Cl 3.15, 4 Tl 3.49
2 Tl 0.5000 0.5000 0.3169  2 Ag 2.98
3 Ag 0.0000 0.0000 0.5470  2 Cl 2.77, 2 Tl 2.98
4 Cl 0.5000 0.5000 0.7420  2 Ag 2.77

Output
Formation energy without anion corrections: -0.75 eV per formula unit
Total moment: 0.00 Bohr magnetons per cell
Energy above the most stable polymorph in this dataset: 157.5 meV per atom
Space group: Cmm2, No. 35

Number 1: total DFT energy (no corrections) -60.74 eV/cell. Number 2: total DFT energy (no corrections) -18.85 eV/cell. Number 3: total DFT energy (no corrections) -20.78 eV/cell. Number 4: total DFT energy (no corrections) -35.05 eV/cell. Number 5: total DFT energy (no corrections) -10.18 eV/cell.